Entry 1:
This record from the Alexandria database describes a relaxed structure of Na2CeCrO4. The functional is PBE+U.

Calculated values
Crystal system: monoclinic
Calculated volume: 109 Å³/cell
Space-group type: P2/m, No. 10
ρ: 4.6 g cm⁻³
Raw total energy: -6.704 eV/atom
Total moment: 0.511 μB per atom

a = 3.526 Å, b = 5.554 Å, c = 5.789 Å
α = 106.61°, β = 90.00°, γ = 90.00°
Fractional coordinates of all 8 atoms:
Na 0.500 0.000 0.500
Na 0.000 0.500 0.500
Ce 0.500 0.500 0.000
Cr 0.000 0.000 0.000
O 0.500 0.244 0.220
O 0.500 0.756 0.780
O 0.000 0.254 0.794
O 0.000 0.746 0.206

***

Entry 2:
This record from the Alexandria database describes a relaxed structure of Na3Ce3CrO8. The functional is PBE+U.

Calculated values
Crystal system: trigonal
Calculated volume: 229 Å³/cell
Space-group type: R-3m, No. 166
ρ: 4.8 g cm⁻³
Raw total energy: -7.125 eV/atom
Total moment: 0.334 μB per atom

a = 6.905 Å, b = 6.905 Å, c = 6.838 Å
α = 120.31°, β = 90.02°, γ = 119.99°
Fractional coordinates of all 15 atoms:
Na 0.000 0.000 0.000
Na 0.000 0.500 0.000
Na 0.500 0.500 0.000
Ce 0.500 0.000 0.500
Ce 0.500 0.500 0.500
Ce 0.000 0.500 0.500
Cr 0.000 0.000 0.500
O 0.260 0.519 0.279
O 0.740 0.481 0.721
O 0.783 0.567 0.305
O 0.217 0.433 0.695
O 0.783 0.022 0.305
O 0.217 0.978 0.695
O 0.238 0.022 0.305
O 0.762 0.978 0.695

***

Entry 3:
This record from the Alexandria database describes a relaxed structure of NaCeCrO4. The functional is PBE+U.

Calculated values
Crystal system: orthorhombic
Calculated volume: 200 Å³/cell
Space-group type: Imma, No. 74
ρ: 4.6 g cm⁻³
Raw total energy: -7.396 eV/atom
Total moment: 0.429 μB per atom

a = 6.240 Å, b = 6.537 Å, c = 7.110 Å
α = 122.95°, β = 90.00°, γ = 118.51°
Fractional coordinates of all 14 atoms:
Na 0.868 0.737 0.118
Na 0.132 0.263 0.882
Ce 0.500 0.000 0.500
Ce 0.500 0.000 0.000
Cr 0.500 0.500 0.500
Cr 0.000 0.500 0.500
O 0.745 0.490 0.688
O 0.300 0.045 0.272
O 0.745 0.045 0.272
O 0.745 0.490 0.302
O 0.255 0.510 0.698
O 0.700 0.955 0.728
O 0.255 0.955 0.728
O 0.255 0.510 0.312

***

Entry 4:
This record from the Alexandria database describes a relaxed structure of NaCeCr2O8. The functional is PBE+U.

Calculated values
Crystal system: tetragonal
Calculated volume: 168 Å³/cell
Space-group type: I-4m2, No. 119
ρ: 3.9 g cm⁻³
Raw total energy: -7.036 eV/atom
Total moment: 0.088 μB per atom

a = 6.036 Å, b = 6.036 Å, c = 6.036 Å
α = 106.30°, β = 106.30°, γ = 116.02°
Fractional coordinates of all 12 atoms:
Na 0.000 0.000 0.000
Ce 0.250 0.750 0.500
Cr 0.750 0.250 0.500
Cr 0.500 0.500 0.000
O 0.407 0.086 0.322
O 0.345 0.539 0.193
O 0.345 0.152 0.807
O 0.764 0.086 0.678
O 0.848 0.655 0.193
O 0.914 0.236 0.322
O 0.914 0.593 0.678
O 0.461 0.655 0.807